Record 1
A relaxed TaNiH2 crystal. Source: the Alexandria database, functional PBE.

Computed properties:
Total energy = -5.99 eV per atom
Energy above the lowest structure with this stoichiometry = 209 meV/atom

Lattice parameters (Å, degrees): 2.8753 2.8753 14.6554 90.00 90.00 120.00
Space group R3m (No. 160, hexagonal axes)
Inequivalent atoms, fractional coordinates:
Ta 0.0000 0.0000 0.0000 (multiplicity 3)
Ni 0.0000 0.0000 0.1760 (multiplicity 3)
H 0.0000 0.0000 0.5796 (multiplicity 3)
H 0.0000 0.0000 0.7595 (multiplicity 3)



Record 2
A relaxed TaNi6H crystal. Source: the Alexandria database, functional PBE.

Computed properties:
Total energy = -6.20 eV per atom

Lattice parameters (Å, degrees): 4.8722 4.8722 12.9313 90.00 90.00 120.00
Space group R-3m (No. 166, hexagonal axes)
Inequivalent atoms, fractional coordinates:
Ta 0.0000 0.0000 0.0000 (multiplicity 3)
Ni 0.0124 0.5062 0.9101 (multiplicity 18)
H 0.0000 0.0000 0.5000 (multiplicity 3)



Record 3
A relaxed TaNi2H2 crystal. Source: the Alexandria database, functional PBE.

Computed properties:
Total energy = -6.08 eV per atom
Energy above the lowest structure with this stoichiometry = 86 meV/atom

Lattice parameters (Å, degrees): 2.789 2.789 11.660 90.00 90.00 90.00
Space group I4/mmm (No. 139)
Inequivalent atoms, fractional coordinates:
Ta 0.000 0.000 0.000 (multiplicity 2)
Ni 0.000 0.000 0.337 (multiplicity 4)
H 0.000 0.500 0.250 (multiplicity 4)



Record 4
A relaxed TaNi2H2 crystal. Source: the Alexandria database, functional PBE.

Computed properties:
Total energy = -6.17 eV per atom
Energy above the lowest structure with this stoichiometry = 0 meV/atom

Lattice parameters (Å, degrees): 2.844 3.533 8.723 90.00 90.00 90.00
Space group Immm (No. 71)
Inequivalent atoms, fractional coordinates:
Ta 0.000 0.000 0.000 (multiplicity 2)
Ni 0.000 0.000 0.325 (multiplicity 4)
H 0.000 0.500 0.327 (multiplicity 4)



Record 5
A relaxed Ta3NiH3 crystal. Source: the Alexandria database, functional PBE.

Computed properties:
Total energy = -7.37 eV per atom

Lattice parameters (Å, degrees): 5.331 5.331 5.331 90.00 90.00 90.00
Space group Pm-3n (No. 223)
Inequivalent atoms, fractional coordinates:
Ta 0.000 0.250 0.500 (multiplicity 6)
Ni 0.000 0.000 0.000 (multiplicity 2)
H 0.000 0.500 0.250 (multiplicity 6)



Record 6
A relaxed TaNiH2 crystal. Source: the Alexandria database, functional PBE.

Computed properties:
Total energy = -6.20 eV per atom
Energy above the lowest structure with this stoichiometry = 0 meV/atom

Lattice parameters (Å, degrees): 3.435 3.804 5.313 90.00 108.91 90.00
Space group P2_1/m (No. 11)
Inequivalent atoms, fractional coordinates:
Ta 0.151 0.250 0.301 (multiplicity 2)
Ni 0.426 0.250 0.852 (multiplicity 2)
H 0.058 0.750 0.116 (multiplicity 2)
H 0.251 0.750 0.504 (multiplicity 2)



Record 7
A relaxed TaNi2H6 crystal. Source: the Alexandria database, functional PBE.

Computed properties:
Total energy = -4.86 eV per atom

Lattice parameters (Å, degrees): 8.762 6.777 5.491 90.00 128.68 90.00
Space group C2/c (No. 15)
Inequivalent atoms, fractional coordinates:
Ta 0.000 0.163 0.250 (multiplicity 4)
Ni 0.182 0.493 0.167 (multiplicity 8)
H 0.001 0.335 0.543 (multiplicity 8)
H 0.104 0.088 0.686 (multiplicity 8)
H 0.210 0.377 0.454 (multiplicity 8)



Record 8
A relaxed TaNi3H crystal. Source: the Alexandria database, functional PBE.

Computed properties:
Total energy = -4.62 eV per atom
Energy above the lowest structure with this stoichiometry = 2021 meV/atom

Lattice parameters (Å, degrees): 4.595 4.595 4.595 90.00 90.00 90.00
Space group Pm-3m (No. 221)
Inequivalent atoms, fractional coordinates:
Ta 0.000 0.000 0.000 (multiplicity 1)
Ni 0.000 0.000 0.500 (multiplicity 3)
H 0.500 0.500 0.500 (multiplicity 1)